1.
In5Br6 | PBE-GGA | relaxed

```
In5Br6
1.0
-2.4157 -6.2531 5.1122
-1.8707 -7.0051 -2.5012
6.5295 -3.9889 2.2034
In Br
5 6
direct
0.3110 0.3780 0.0000
0.8534 0.2931 0.5000
0.6890 0.6220 0.0000
0.1466 0.7069 0.5000
0.5000 0.0000 0.5000
0.1163 0.3264 0.7209
0.5573 0.3264 0.2791
0.4427 0.6736 0.7209
0.6904 0.0000 0.7709
0.8837 0.6736 0.2791
0.3096 0.0000 0.2291
```

Computed properties:
- E_form (uncorrected) (eV/atom) = -0.642
- E_tot (eV per atom) = -2.7990
- calculated density (g/cm³) = 4.27
- DOS at the Fermi energy (states/eV/atom) = 0.3001


2.
InBr2 | PBE-GGA | relaxed

```
InBr2
1.0
1.1368 5.8983 1.0210
-5.7397 -2.0444 0.0206
0.3967 -1.0566 5.6627
Br In
4 2
direct
0.6667 0.3333 0.2500
0.3333 0.6667 0.7500
0.0000 0.0000 0.0000
0.0000 0.0000 0.5000
0.3333 0.6667 0.2500
0.6667 0.3333 0.7500
```

Computed properties:
- E_form (uncorrected) (eV/atom) = -0.406
- E_tot (eV per atom) = -2.4336
- calculated density (g/cm³) = 4.91
- DOS at the Fermi energy (states/eV/atom) = 0.6493


3.
In3Br2 | PBE-GGA | relaxed

```
In3Br2
1.0
12.1748 -1.9281 0.0395
12.1748 1.9281 0.0395
11.8586 0.0000 3.3640
In Br
3 2
direct
0.7952 0.7952 0.7952
0.2048 0.2048 0.2048
0.0000 0.0000 0.0000
0.4005 0.4005 0.4005
0.5995 0.5995 0.5995
```

Computed properties:
- E_form (uncorrected) (eV/atom) = -0.380
- E_tot (eV per atom) = -2.6923
- calculated density (g/cm³) = 5.36
- DOS at the Fermi energy (states/eV/atom) = 0.2883


4.
In2Br | PBE-GGA | relaxed

```
In2Br
1.0
-1.1407 -6.5097 -0.3340
2.4554 -5.9779 1.4228
-2.8908 -3.3063 6.9180
Br In
2 4
direct
0.0403 0.0403 0.9119
0.3509 0.3509 0.3171
0.2548 0.2548 0.0079
0.9221 0.9221 0.6581
0.6827 0.6827 0.6192
0.5824 0.5824 0.3190
```

Computed properties:
- E_form (uncorrected) (eV/atom) = -0.303
- E_tot (eV per atom) = -2.6861
- calculated density (g/cm³) = 5.48
- DOS at the Fermi energy (states/eV/atom) = 0.2826


5.
In4Br | PBE-GGA | relaxed

```
In4Br
1.0
-2.1831 2.1831 8.0069
2.1831 -2.1831 8.0069
2.1831 2.1831 -8.0069
Br In
1 4
direct
0.0000 0.0000 0.0000
0.4079 0.4079 0.0000
0.5921 0.5921 0.0000
0.2500 0.7500 0.5000
0.7500 0.2500 0.5000
```

Computed properties:
- E_form (uncorrected) (eV/atom) = -0.088
- E_tot (eV per atom) = -2.6138
- calculated density (g/cm³) = 5.87
- DOS at the Fermi energy (states/eV/atom) = 0.6987


6.
In8Br | PBE-GGA | relaxed

```
In8Br
1.0
4.8563 6.0519 -2.7986
-1.4049 -6.7589 4.5149
0.4199 -4.2381 -7.0643
In Br
8 1
direct
0.6668 0.3332 0.0000
0.0000 0.6634 0.6634
0.3366 0.0000 0.3366
0.3332 0.6668 0.0000
0.6668 0.6668 0.3336
0.3332 0.3332 0.6664
0.6634 0.0000 0.6634
0.0000 0.3366 0.3366
0.0000 0.0000 0.0000
```

Computed properties:
- E_form (uncorrected) (eV/atom) = -0.054
- E_tot (eV per atom) = -2.6745
- calculated density (g/cm³) = 6.59
- DOS at the Fermi energy (states/eV/atom) = 0.2811